YSc2In3PtAu2: relaxed, PBE.

The magnetic moment is 0.06 μB per cell. The total DFT energy (no corrections) is -93.68 eV/cell.

The space group is Amm2 (No. 38) and the conventional cell measures 3.726, 13.353 and 7.666 Å, with angles of 90.00, 90.00 and 90.00 degrees. The inequivalent atoms are Y at (0.000, 0.000, 0.000), Sc at (0.000, 0.197, 0.405), In at (0.500, 0.000, 0.339), In at (0.500, 0.134, 0.732), Pt at (0.000, 0.000, 0.598) and Au at (0.500, 0.171, 0.104).

---

InPtAuSe3: relaxed, PBE.

The magnetic moment is 0.00 μB per cell. For the distance to the lowest polymorph of the same formula, the calculation gives 21 meV per atom. The total DFT energy (no corrections) is -96.30 eV/cell.

The space group is Pnma (No. 62) and the conventional cell measures 13.046, 3.809 and 11.081 Å, with angles of 90.00, 90.00 and 90.00 degrees. The inequivalent atoms are In at (0.158, 0.250, 0.085), Pt at (0.054, 0.750, 0.367), Au at (0.172, 0.750, 0.907), Se at (0.008, 0.750, 0.765), Se at (0.107, 0.250, 0.505) and Se at (0.227, 0.750, 0.259).

---

InPtAuSe3: relaxed, PBE.

The magnetic moment is 0.02 μB per cell. For the distance to the lowest polymorph of the same formula, the calculation gives 0 meV per atom. The total DFT energy (no corrections) is -96.80 eV/cell.

The space group is Cmcm (No. 63) and the conventional cell measures 3.788, 13.024 and 10.833 Å, with angles of 90.00, 90.00 and 90.00 degrees. The inequivalent atoms are In at (0.000, 0.176, 0.250), Pt at (0.000, 0.500, 0.000), Au at (0.000, 0.163, 0.750), Se at (0.000, 0.127, 0.514) and Se at (0.000, 0.481, 0.750).

---

Please write out number 2 again, unchanged.
InPtAuSe3: relaxed, PBE.

The magnetic moment is 0.00 μB per cell. For the distance to the lowest polymorph of the same formula, the calculation gives 21 meV per atom. The total DFT energy (no corrections) is -96.30 eV/cell.

The space group is Pnma (No. 62) and the conventional cell measures 13.046, 3.809 and 11.081 Å, with angles of 90.00, 90.00 and 90.00 degrees. The inequivalent atoms are In at (0.158, 0.250, 0.085), Pt at (0.054, 0.750, 0.367), Au at (0.172, 0.750, 0.907), Se at (0.008, 0.750, 0.765), Se at (0.107, 0.250, 0.505) and Se at (0.227, 0.750, 0.259).

---

Q: magnetic moment of number 1 (YSc2In3PtAu2)?
A: 0.06 μB per cell

---

Q: The highest total DFT energy (no corrections) belongs to which entry?
A: YSc2In3PtAu2

---

Q: Which formula does entry 3 have?
A: InPtAuSe3